(1)
The following is a DFT calculation (PBE) of crystalline TiW3C at its relaxed geometry.

Results
E above lowest polymorph = 0 meV/atom
Calculated total energy = -11.10 eV per atom
E_form = 0.47 eV/f.u.

a b c (Å): 4.1836 4.1836 4.1836
angles (deg): 90.00 90.00 90.00
Last column: nearest neighbours and their distance in Å.
Fractional coordinates of all 5 atoms:
Ti: 0.0000 0.0000 0.0000  12 W 2.96
W: 0.0000 0.5000 0.5000  2 C 2.09
W: 0.5000 0.0000 0.5000  2 C 2.09
W: 0.5000 0.5000 0.0000  2 C 2.09
C: 0.5000 0.5000 0.5000  6 W 2.09

(2)
The following is a DFT calculation (PBE) of crystalline Er5Th4Sc4 at its relaxed geometry.

Results
Calculated total energy = -5.94 eV per atom
E_form = 0.58 eV/f.u.

a b c (Å): 9.1147 9.1147 9.1147
angles (deg): 94.22 94.22 148.52
Last column: nearest neighbours and their distance in Å.
Fractional coordinates of all 13 atoms:
Er: 0.0000 0.0000 0.0000  4 Sc 3.47, 8 Er 3.48
Er: 0.3074 0.4586 0.7660  5 Sc 3.38-3.50, 3 Th 3.44-3.48, 4 Er 3.46-3.48
Er: 0.4586 0.6926 0.1512  5 Sc 3.38-3.50, 3 Th 3.44-3.48, 4 Er 3.46-3.48
Er: 0.5414 0.3074 0.8488  5 Sc 3.38-3.50, 3 Th 3.44-3.48, 4 Er 3.46-3.48
Er: 0.6926 0.5414 0.2340  5 Sc 3.38-3.50, 3 Th 3.44-3.48, 4 Er 3.46-3.48
Th: 0.0769 0.6183 0.6952  4 Sc 3.41-3.44, 3 Er 3.44-3.48, 5 Th 3.50
Th: 0.3817 0.0769 0.4587  4 Sc 3.41-3.44, 3 Er 3.44-3.48, 5 Th 3.50
Th: 0.6183 0.9231 0.5413  4 Sc 3.41-3.44, 3 Er 3.44-3.48, 5 Th 3.50
Th: 0.9231 0.3817 0.3048  4 Sc 3.41-3.44, 3 Er 3.44-3.48, 5 Th 3.50
Sc: 0.1540 0.2334 0.3875  6 Er 3.38-3.50, 4 Th 3.41-3.44, 2 Sc 3.46
Sc: 0.2334 0.8460 0.0794  6 Er 3.38-3.50, 4 Th 3.41-3.44, 2 Sc 3.46
Sc: 0.7666 0.1540 0.9206  6 Er 3.38-3.50, 4 Th 3.41-3.44, 2 Sc 3.46
Sc: 0.8460 0.7666 0.6125  6 Er 3.38-3.50, 4 Th 3.41-3.44, 2 Sc 3.46

(3)
The following is a DFT calculation (PBE) of crystalline Nd2UTc2C4 at its relaxed geometry.

Results
Calculated total energy = -8.70 eV per atom
E_form = 0.17 eV/f.u.

a b c (Å): 6.8951 6.8951 6.2164
angles (deg): 106.71 106.71 29.14
Last column: nearest neighbours and their distance in Å.
Fractional coordinates of all 9 atoms:
Nd: 0.1342 0.1342 0.0371  5 C 2.63-2.83
Nd: 0.8658 0.8658 0.9629  5 C 2.63-2.83
U: 0.0000 0.0000 0.5000  4 C 2.39
Tc: 0.3214 0.3214 0.4950  4 C 2.07-2.16
Tc: 0.6786 0.6786 0.5050  4 C 2.07-2.16
C: 0.2274 0.2274 0.7187  3 Tc 2.13-2.16
C: 0.4672 0.4672 0.7338  1 Tc 2.07
C: 0.5328 0.5328 0.2662  1 Tc 2.07
C: 0.7726 0.7726 0.2813  3 Tc 2.13-2.16

Question: Which of these has the highest calculated total energy?
Answer: Er5Th4Sc4

Question: Among the records above, which one has the lowest E_form?
Answer: Nd2UTc2C4

Question: Which of these has the highest calculated total energy?
Answer: Er5Th4Sc4